No. 1
This record from the Alexandria database describes PrNd3Cl after structural relaxation. The functional is PBE.

Summary:
V = 33.45 A^3/atom
Total moment = 0.00 μB per cell
Formation energy without anion corrections = -513 meV per atom

Lattice parameters (Å, degrees): 5.510 5.510 5.510 90.00 90.00 90.00
Space group Pm-3m (No. 221)
Inequivalent atoms, fractional coordinates:
Pr (0.000, 0.000, 0.000) [1 per cell]
Nd (0.000, 0.500, 0.500) [3 per cell]
Cl (0.500, 0.500, 0.500) [1 per cell]

No. 2
This record from the Alexandria database describes PrNdCl6 after structural relaxation. The functional is PBE.

Summary:
V = 33.51 A^3/atom
Total moment = 0.00 μB per cell
Formation energy without anion corrections = -2236 meV per atom
ΔE to the lowest computed polymorph = 0 meV/atom

Lattice parameters (Å, degrees): 6.9509 6.9509 19.2229 90.00 90.00 120.00
Space group R-3 (No. 148, hexagonal axes)
Inequivalent atoms, fractional coordinates:
Pr (0.0000, 0.0000, 0.0000) [3 per cell]
Nd (0.0000, 0.0000, 0.5000) [3 per cell]
Cl (0.0016, 0.6505, 0.2496) [18 per cell]

No. 3
This record from the Alexandria database describes PrNdCl6 after structural relaxation. The functional is PBE.

Summary:
V = 40.49 A^3/atom
Total moment = 0.00 μB per cell
Formation energy without anion corrections = -2184 meV per atom
ΔE to the lowest computed polymorph = 52 meV/atom

Lattice parameters (Å, degrees): 7.070 12.205 7.543 90.00 95.51 90.00
Space group C2/m (No. 12)
Inequivalent atoms, fractional coordinates:
Pr (0.000, 0.000, 0.000) [2 per cell]
Nd (0.000, 0.000, 0.500) [2 per cell]
Cl (0.146, 0.145, 0.265) [8 per cell]
Cl (0.209, 0.500, 0.226) [4 per cell]

No. 4
This record from the Alexandria database describes PrNdCl3 after structural relaxation. The functional is PBE.

Summary:
V = 26.71 A^3/atom
Total moment = 0.00 μB per cell
Formation energy without anion corrections = -1759 meV per atom

Lattice parameters (Å, degrees): 6.700 13.034 6.697 90.00 113.99 90.00
Space group C2/m (No. 12)
Inequivalent atoms, fractional coordinates:
Pr (0.000, 0.176, 0.000) [4 per cell]
Nd (0.000, 0.323, 0.500) [4 per cell]
Cl (0.247, 0.500, 0.748) [4 per cell]
Cl (0.250, 0.147, 0.747) [8 per cell]

No. 5
This record from the Alexandria database describes Pr2NdCl after structural relaxation. The functional is PBE.

Summary:
V = 31.47 A^3/atom
Total moment = 0.00 μB per cell
Formation energy without anion corrections = -691 meV per atom

Lattice parameters (Å, degrees): 3.7476 3.7476 31.0527 90.00 90.00 120.00
Space group R-3m (No. 166, hexagonal axes)
Inequivalent atoms, fractional coordinates:
Pr (0.0000, 0.0000, 0.2389) [6 per cell]
Nd (0.0000, 0.0000, 0.0000) [3 per cell]
Cl (0.0000, 0.0000, 0.5000) [3 per cell]

No. 6
This record from the Alexandria database describes PrNdCl4 after structural relaxation. The functional is PBE.

Summary:
V = 29.22 A^3/atom
Total moment = 0.00 μB per cell
Formation energy without anion corrections = -1954 meV per atom

Lattice parameters (Å, degrees): 5.612 5.612 11.135 90.00 90.00 90.00
Space group I-4m2 (No. 119)
Inequivalent atoms, fractional coordinates:
Pr (0.000, 0.000, 0.000) [2 per cell]
Nd (0.000, 0.500, 0.750) [2 per cell]
Cl (0.000, 0.000, 0.260) [4 per cell]
Cl (0.000, 0.500, 0.008) [4 per cell]

No. 7
This record from the Alexandria database describes PrNdPtCl after structural relaxation. The functional is PBE.

Summary:
V = 27.85 A^3/atom
Total moment = 0.00 μB per cell
Formation energy without anion corrections = -1238 meV per atom

Lattice parameters (Å, degrees): 6.886 3.982 8.443 90.00 105.76 90.00
Space group Cm (No. 8)
Inequivalent atoms, fractional coordinates:
Pr (0.000, 0.000, 0.000) [2 per cell]
Nd (0.150, 0.000, 0.449) [2 per cell]
Pt (0.409, 0.000, 0.225) [2 per cell]
Cl (0.076, 0.500, 0.728) [2 per cell]

No. 8
This record from the Alexandria database describes PrNdRhCl after structural relaxation. The functional is PBE.

Summary:
V = 27.96 A^3/atom
Total moment = 0.00 μB per cell
Formation energy without anion corrections = -1145 meV per atom

Lattice parameters (Å, degrees): 4.0793 4.0793 23.2825 90.00 90.00 120.00
Space group R3m (No. 160, hexagonal axes)
Inequivalent atoms, fractional coordinates:
Pr (0.0000, 0.0000, 0.0000) [3 per cell]
Nd (0.0000, 0.0000, 0.1985) [3 per cell]
Rh (0.0000, 0.0000, 0.5985) [3 per cell]
Cl (0.0000, 0.0000, 0.7696) [3 per cell]

No. 9
This record from the Alexandria database describes Pr2Nd4Sn3Cl2 after structural relaxation. The functional is PBE.

Summary:
V = 31.53 A^3/atom
Total moment = 0.00 μB per cell
Formation energy without anion corrections = -822 meV per atom

Lattice parameters (Å, degrees): 5.319 5.319 24.514 90.00 90.00 90.00
Space group I4/mmm (No. 139)
Inequivalent atoms, fractional coordinates:
Pr (0.000, 0.000, 0.198) [4 per cell]
Nd (0.000, 0.500, 0.087) [8 per cell]
Sn (0.000, 0.000, 0.329) [4 per cell]
Sn (0.000, 0.000, 0.500) [2 per cell]
Cl (0.000, 0.000, 0.068) [4 per cell]

No. 10
This record from the Alexandria database describes PrNdTeCl after structural relaxation. The functional is PBE.

Summary:
V = 26.82 A^3/atom
Total moment = 0.00 μB per cell
Formation energy without anion corrections = -1323 meV per atom

Lattice parameters (Å, degrees): 7.542 7.542 7.542 90.00 90.00 90.00
Space group F-43m (No. 216)
Inequivalent atoms, fractional coordinates:
Pr (0.000, 0.000, 0.000) [4 per cell]
Nd (0.000, 0.000, 0.500) [4 per cell]
Te (0.250, 0.250, 0.750) [4 per cell]
Cl (0.250, 0.250, 0.250) [4 per cell]

No. 11
This record from the Alexandria database describes PrNdTe2Cl after structural relaxation. The functional is PBE.

Summary:
V = 29.94 A^3/atom
Total moment = 0.00 μB per cell
Formation energy without anion corrections = -1660 meV per atom

Lattice parameters (Å, degrees): 4.433 4.433 15.233 90.00 90.00 90.00
Space group P4/nmm (No. 129, origin choice 2)
Inequivalent atoms, fractional coordinates:
Pr (0.250, 0.250, 0.133) [2 per cell]
Nd (0.250, 0.250, 0.586) [2 per cell]
Te (0.250, 0.250, 0.373) [2 per cell]
Te (0.250, 0.250, 0.799) [2 per cell]
Cl (0.250, 0.750, 0.000) [2 per cell]

No. 12
This record from the Alexandria database describes Pr4Nd2Tl3Cl2 after structural relaxation. The functional is PBE.

Summary:
V = 32.38 A^3/atom
Total moment = 0.00 μB per cell
Formation energy without anion corrections = -596 meV per atom

Lattice parameters (Å, degrees): 5.509 5.509 23.467 90.00 90.00 90.00
Space group I4/mmm (No. 139)
Inequivalent atoms, fractional coordinates:
Pr (0.000, 0.500, 0.087) [8 per cell]
Nd (0.000, 0.000, 0.203) [4 per cell]
Tl (0.000, 0.000, 0.338) [4 per cell]
Tl (0.000, 0.000, 0.500) [2 per cell]
Cl (0.000, 0.000, 0.076) [4 per cell]

No. 13
This record from the Alexandria database describes Nd3PtCl3 after structural relaxation. The functional is PBE.

Summary:
V = 30.17 A^3/atom
Total moment = 0.00 μB per cell
Formation energy without anion corrections = -1672 meV per atom

Lattice parameters (Å, degrees): 11.911 11.911 11.911 90.00 90.00 90.00
Space group I4_132 (No. 214)
Inequivalent atoms, fractional coordinates:
Nd (0.114, 0.364, 0.125) [24 per cell]
Pt (0.125, 0.125, 0.125) [8 per cell]
Cl (0.124, 0.375, 0.374) [24 per cell]